The following is a GGA-PBE calculation of a relaxed structure of Pm2Nd7Ho3, from Alexandria.

Its electronic total energy is -4.433 eV/atom. The symmetry is P2/m, No. 10. The calculation puts the energy above the most stable polymorph in this dataset at 0.172 eV/atom.

a b c (Å): 6.2475 5.5308 12.5462
angles (deg): 90.00 90.39 90.00
With the nearest neighbours (Å) after each atom.
Fractional positions:
Pm 0.1039 0.0000 0.2793  6 Nd 3.16-3.53
Pm 0.8961 0.0000 0.7207  6 Nd 3.16-3.53
Nd 0.0557 0.5000 0.8193  2 Pm 3.19
Nd 0.2590 0.0000 0.5460  2 Pm 3.16-3.48, 2 Nd 3.23-3.43
Nd 0.4181 0.0000 0.8294  2 Pm 3.29-3.53, 3 Ho 3.39-3.65, 5 Nd 3.53-3.69
Nd 0.5000 0.5000 0.0000  6 Nd 3.53-3.57
Nd 0.5819 0.0000 0.1706  2 Pm 3.29-3.53, 3 Ho 3.39-3.65, 5 Nd 3.53-3.69
Nd 0.7410 0.0000 0.4540  2 Pm 3.16-3.48, 2 Nd 3.23-3.43
Nd 0.9443 0.5000 0.1807  2 Pm 3.19
Ho 0.0000 0.0000 0.0000  6 Nd 3.39-3.59, 2 Pm 3.56
Ho 0.4353 0.5000 0.3447  2 Pm 3.55, 8 Nd 3.62-3.91
Ho 0.5647 0.5000 0.6553  2 Pm 3.55, 8 Nd 3.62-3.91


The following is a GGA-PBE calculation of a relaxed structure of Pm3NdHo3, from Alexandria.

Its electronic total energy is -4.657 eV/atom. The symmetry is P6_3/m, No. 176. The calculation puts the energy above the most stable polymorph in this dataset at 0.000 eV/atom.

a b c (Å): 9.6585 9.6585 5.7759
angles (deg): 90.00 90.00 120.00
With the nearest neighbours (Å) after each atom.
Fractional positions:
Pm 0.0958 0.6210 0.2500  3 Nd 3.58-3.66, 4 Pm 3.59-3.65, 5 Ho 3.59-3.70
Pm 0.3790 0.4749 0.2500  3 Nd 3.58-3.66, 4 Pm 3.59-3.65, 5 Ho 3.59-3.70
Pm 0.4749 0.0958 0.7500  3 Nd 3.58-3.66, 4 Pm 3.59-3.65, 5 Ho 3.59-3.70
Pm 0.5251 0.9042 0.2500  3 Nd 3.58-3.66, 4 Pm 3.59-3.65, 5 Ho 3.59-3.70
Pm 0.6210 0.5251 0.7500  3 Nd 3.58-3.66, 4 Pm 3.59-3.65, 5 Ho 3.59-3.70
Pm 0.9042 0.3790 0.7500  3 Nd 3.58-3.66, 4 Pm 3.59-3.65, 5 Ho 3.59-3.70
Nd 0.3333 0.6667 0.7500  9 Pm 3.58-3.66, 3 Ho 3.69
Nd 0.6667 0.3333 0.2500  9 Pm 3.58-3.66, 3 Ho 3.69
Ho 0.0468 0.8135 0.7500  6 Ho 3.55-3.58, 5 Pm 3.59-3.70, 1 Nd 3.69
Ho 0.1865 0.2333 0.7500  6 Ho 3.55-3.58, 5 Pm 3.59-3.70, 1 Nd 3.69
Ho 0.2333 0.0468 0.2500  6 Ho 3.55-3.58, 5 Pm 3.59-3.70, 1 Nd 3.69
Ho 0.7667 0.9532 0.7500  6 Ho 3.55-3.58, 5 Pm 3.59-3.70, 1 Nd 3.69
Ho 0.8135 0.7667 0.2500  6 Ho 3.55-3.58, 5 Pm 3.59-3.70, 1 Nd 3.69
Ho 0.9532 0.1865 0.2500  6 Ho 3.55-3.58, 5 Pm 3.59-3.70, 1 Nd 3.69


> Look up the electronic total energy of the second one.

-4.657 eV/atom